# 1
# RbGa2Sb2 (GGA-PBE, relaxed)
data_RbGa2Sb2
_symmetry_space_group_name_H-M 'P 4/m b m'
_symmetry_Int_Tables_number 127
_symmetry_space_group_name_Hall '-P 4 2ab'
_cell_length_a 9.072
_cell_length_b 9.072
_cell_length_c 3.898
_cell_angle_alpha 90.00
_cell_angle_beta 90.00
_cell_angle_gamma 90.00
loop_
_atom_site_label
_atom_site_fract_x
_atom_site_fract_y
_atom_site_fract_z
Rb1 0.000 0.000 0.000
Ga1 0.134 0.366 0.500
Sb1 0.115 0.615 0.000
# DOS(E_F) = 2.75 states/eV/cell
# E_form (uncorrected) = -0.064 eV/atom
# Energy above the most stable polymorph in this dataset = 217 meV/atom
# Total DFT energy (no corrections) = -3.117 eV/atom

***

# 2
# Ta2TiGa (GGA-PBE, relaxed)
data_Ta2TiGa
_symmetry_space_group_name_H-M 'P 4/m m m'
_symmetry_Int_Tables_number 123
_symmetry_space_group_name_Hall '-P 4 2'
_cell_length_a 3.920
_cell_length_b 3.920
_cell_length_c 4.444
_cell_angle_alpha 90.00
_cell_angle_beta 90.00
_cell_angle_gamma 90.00
loop_
_atom_site_label
_atom_site_fract_x
_atom_site_fract_y
_atom_site_fract_z
Ta1 0.000 0.500 0.000
Ti1 0.000 0.000 0.500
Ga1 0.500 0.500 0.500
# DOS(E_F) = 4.39 states/eV/cell
# Energy above the most stable polymorph in this dataset = 0 meV/atom
# Calculated formation energy = -168 meV/atom
# Total DFT energy (no corrections) = -8.825 eV/atom

***

# 3
# NdTm4Ni4 (GGA-PBE, relaxed)
data_NdTm4Ni4
_symmetry_space_group_name_H-M 'P 42/n'
_symmetry_Int_Tables_number 86
_cell_length_a 8.616
_cell_length_b 8.616
_cell_length_c 5.480
_cell_angle_alpha 90.00
_cell_angle_beta 90.00
_cell_angle_gamma 90.00
loop_
_symmetry_equiv_pos_as_xyz
'x,y,z'
'-x,-y,-z'
'-y,x+1/2,z+1/2'
'y,-x+1/2,-z+1/2'
'-x+1/2,-y+1/2,z'
'x+1/2,y+1/2,-z'
'y+1/2,-x,z+1/2'
'-y+1/2,x,-z+1/2'
loop_
_atom_site_label
_atom_site_fract_x
_atom_site_fract_y
_atom_site_fract_z
Nd1 0.250 0.250 0.250
Tm1 0.076 0.658 0.152
Ni1 0.034 0.612 0.643
# DOS(E_F) = 15.81 states/eV/cell
# Calculated formation energy = -279 meV/atom
# Total DFT energy (no corrections) = -5.365 eV/atom

***

Number 1: ρ 4.85 g/cm³. Number 2: ρ 11.66 g/cm³. Number 3: ρ 8.61 g/cm³.